#1
{"formula": "Cd3SnW", "functional": "GGA-PBE", "state": "optimized geometry", "lattice_angstrom": [[-1.137, 4.803, 2.276], [-5.230, -1.427, 0.399], [0.950, -2.106, 4.920]], "species": ["Cd", "Cd", "Cd", "W", "Sn"], "fractional_positions": [[0.500, 0.000, 0.000], [0.000, 0.500, 0.000], [0.000, 0.000, 0.500], [0.500, 0.500, 0.500], [0.000, 0.000, 0.000]]}

---

#2
{"formula": "Cd3SnW", "functional": "GGA-PBE", "state": "optimized geometry", "lattice_angstrom": [[-4.849, -1.712, 1.232], [0.162, -3.382, -4.061], [2.103, -3.687, 3.154]], "species": ["Cd", "Cd", "Cd", "W", "Sn"], "fractional_positions": [[0.000, 0.000, 0.500], [0.500, 0.000, 0.000], [0.000, 0.500, 0.000], [0.000, 0.000, 0.000], [0.500, 0.500, 0.500]]}

---

The energy of each structure relative to the most stable one, in eV/atom, is as follows: #1 0.428; #2 0.000.

---

#1
{"formula": "CdSnW2", "functional": "GGA-PBE", "state": "optimized geometry", "lattice_angstrom": [[0.000, 3.303, 3.303], [3.303, 0.000, 3.303], [3.303, 3.303, 0.000]], "species": ["W", "W", "Cd", "Sn"], "fractional_positions": [[0.750, 0.750, 0.750], [0.250, 0.250, 0.250], [0.000, 0.000, 0.000], [0.500, 0.500, 0.500]]}

---

#2
{"formula": "CdSnW2", "functional": "GGA-PBE", "state": "optimized geometry", "lattice_angstrom": [[7.648, 0.000, 0.000], [0.000, 7.648, 0.000], [3.824, 3.824, 2.769]], "species": ["W", "W", "W", "W", "Sn", "Sn", "Cd", "Cd"], "fractional_positions": [[0.643, 0.125, 0.250], [0.107, 0.625, 0.250], [0.375, 0.357, 0.750], [0.875, 0.893, 0.750], [0.000, 0.000, 0.000], [0.750, 0.250, 0.500], [0.500, 0.500, 0.000], [0.250, 0.750, 0.500]]}

---

The energy of each structure relative to the most stable one, in eV/atom, is as follows: #1 0.000; #2 0.344.

---

#1
{"formula": "ZrCd2SnW", "functional": "GGA-PBE", "state": "optimized geometry", "lattice_angstrom": [[5.128, 0.000, 0.000], [0.000, 5.499, 0.000], [0.000, 0.000, 5.128]], "species": ["Sn", "Cd", "Cd", "W", "Zr"], "fractional_positions": [[0.000, 0.000, 0.000], [0.000, 0.000, 0.500], [0.500, 0.000, 0.000], [0.500, 0.500, 0.500], [0.000, 0.500, 0.000]]}

---

#2
{"formula": "ZrCd2SnW", "functional": "GGA-PBE", "state": "optimized geometry", "lattice_angstrom": [[5.169, 0.000, 0.000], [0.000, 5.107, 0.000], [0.000, 0.000, 5.169]], "species": ["Zr", "Cd", "Cd", "W", "Sn"], "fractional_positions": [[0.500, 0.500, 0.500], [0.000, 0.000, 0.500], [0.500, 0.000, 0.000], [0.000, 0.000, 0.000], [0.000, 0.500, 0.000]]}

---

The energy of each structure relative to the most stable one, in eV/atom, is as follows: #1 0.514; #2 0.000.

---

#1
{"formula": "YCd2Sn2", "functional": "GGA-PBE", "state": "optimized geometry", "lattice_angstrom": [[4.434, 0.000, 0.000], [0.000, 4.469, 0.000], [-2.217, 0.000, 12.311]], "species": ["Y", "Y", "Sn", "Sn", "Sn", "Sn", "Cd", "Cd", "Cd", "Cd"], "fractional_positions": [[0.350, 0.250, 0.699], [0.650, 0.750, 0.301], [0.133, 0.250, 0.266], [0.250, 0.750, 0.501], [0.867, 0.750, 0.734], [0.750, 0.250, 0.499], [0.955, 0.250, 0.909], [0.045, 0.750, 0.091], [0.544, 0.250, 0.087], [0.456, 0.750, 0.913]]}

---

#2
{"formula": "YCd2Sn2", "functional": "GGA-PBE", "state": "optimized geometry", "lattice_angstrom": [[8.287, 0.000, 0.000], [0.000, 8.287, 0.000], [0.000, 0.000, 3.807]], "species": ["Sn", "Sn", "Sn", "Sn", "Cd", "Cd", "Cd", "Cd", "Y", "Y"], "fractional_positions": [[0.859, 0.641, 0.000], [0.641, 0.141, 0.000], [0.141, 0.359, 0.000], [0.359, 0.859, 0.000], [0.658, 0.842, 0.500], [0.158, 0.658, 0.500], [0.842, 0.342, 0.500], [0.342, 0.158, 0.500], [0.500, 0.500, 0.000], [0.000, 0.000, 0.000]]}

---

The energy of each structure relative to the most stable one, in eV/atom, is as follows: #1 0.000; #2 0.227.

---

#1
{"formula": "YCd2Sn2", "functional": "GGA-PBE", "state": "optimized geometry", "lattice_angstrom": [[4.258, 0.000, 0.000], [0.000, 4.258, 0.000], [2.129, 2.129, 7.310]], "species": ["Cd", "Cd", "Sn", "Sn", "Y"], "fractional_positions": [[0.250, 0.750, 0.500], [0.750, 0.250, 0.500], [0.398, 0.398, 0.203], [0.602, 0.602, 0.797], [0.000, 0.000, 0.000]]}

---

#2
{"formula": "YCd2Sn2", "functional": "GGA-PBE", "state": "optimized geometry", "lattice_angstrom": [[4.825, 0.000, 0.000], [0.000, 4.825, 0.000], [2.413, 2.413, 5.865]], "species": ["Sn", "Sn", "Y", "Cd", "Cd"], "fractional_positions": [[0.750, 0.250, 0.500], [0.250, 0.750, 0.500], [0.000, 0.000, 0.000], [0.388, 0.388, 0.223], [0.612, 0.612, 0.777]]}

---

#3
{"formula": "YCd2Sn2", "functional": "GGA-PBE", "state": "optimized geometry", "lattice_angstrom": [[8.330, 0.000, 0.000], [0.000, 8.330, 0.000], [0.000, 0.000, 3.706]], "species": ["Sn", "Sn", "Sn", "Sn", "Cd", "Cd", "Cd", "Cd", "Y", "Y"], "fractional_positions": [[0.180, 0.680, 0.500], [0.680, 0.820, 0.500], [0.320, 0.180, 0.500], [0.820, 0.320, 0.500], [0.379, 0.879, 0.000], [0.621, 0.121, 0.000], [0.121, 0.379, 0.000], [0.879, 0.621, 0.000], [0.000, 0.000, 0.000], [0.500, 0.500, 0.000]]}

---

The energy of each structure relative to the most stable one, in eV/atom, is as follows: #1 0.000; #2 0.131; #3 0.009.

---

#1
{"formula": "YCdSn3", "functional": "GGA-PBE", "state": "optimized geometry", "lattice_angstrom": [[-0.971, 4.689, -4.087], [-3.062, -3.945, -3.797], [-11.272, 2.933, 6.043]], "species": ["Sn", "Sn", "Sn", "Sn", "Sn", "Sn", "Sn", "Sn", "Sn", "Sn", "Sn", "Sn", "Cd", "Cd", "Cd", "Cd", "Y", "Y", "Y", "Y"], "fractional_positions": [[0.250, 0.697, 0.082], [0.250, 0.486, 0.724], [0.500, 0.250, 0.500], [0.750, 0.303, 0.918], [0.000, 0.750, 0.500], [0.750, 0.803, 0.082], [0.750, 0.514, 0.276], [0.750, 0.014, 0.724], [0.000, 0.250, 0.500], [0.250, 0.197, 0.918], [0.250, 0.986, 0.276], [0.500, 0.750, 0.500], [0.000, 0.750, 0.883], [0.500, 0.250, 0.117], [0.500, 0.750, 0.883], [0.000, 0.250, 0.117], [0.750, 0.508, 0.689], [0.250, 0.492, 0.311], [0.750, 0.008, 0.311], [0.250, 0.992, 0.689]]}

---

#2
{"formula": "YCdSn3", "functional": "GGA-PBE", "state": "optimized geometry", "lattice_angstrom": [[5.451, 0.000, 0.000], [0.000, 5.451, 0.000], [0.000, 0.000, 5.451]], "species": ["Y", "Sn", "Sn", "Sn", "Cd"], "fractional_positions": [[0.500, 0.500, 0.500], [0.000, 0.000, 0.500], [0.000, 0.500, 0.000], [0.500, 0.000, 0.000], [0.000, 0.000, 0.000]]}

---

The energy of each structure relative to the most stable one, in eV/atom, is as follows: #1 0.000; #2 0.685.